# DyPaGaRh | Alexandria via LeMat-Bulk | GGA-PBE | relaxed
# - SG: No. 216
# - Energy: -26.16 eV for the cell shown
data_DyPaGaRh
_chemical_formula_sum 'Dy1 Pa1 Ga1 Rh1'
_space_group_name_H-M_alt 'P 1'
_space_group_IT_number 1
_space_group_name_Hall 'P 1'
_cell_length_a 4.9619
_cell_length_b 4.9619
_cell_length_c 4.9619
_cell_angle_alpha 60.00
_cell_angle_beta 60.00
_cell_angle_gamma 60.00
loop_
_atom_site_label
_atom_site_type_symbol
_atom_site_fract_x
_atom_site_fract_y
_atom_site_fract_z
Pa1 Pa 0.0000 0.0000 0.0000
Dy1 Dy 0.5000 0.5000 0.5000
Ga1 Ga 0.7500 0.7500 0.7500
Rh1 Rh 0.2500 0.2500 0.2500